1.
NiAsW3 | PBE-GGA | optimized geometry

Structure (extended XYZ):
```
5
Lattice="4.5064 0.0000 0.0000 0.0000 4.5064 0.0000 0.0000 0.0000 4.5064" Properties=species:S:1:pos:R:3 pbc="T T T"
Ni 0.0000 0.0000 0.0000
As 2.2532 2.2532 2.2532
W 0.0000 2.2532 0.0000
W 0.0000 0.0000 2.2532
W 2.2532 0.0000 0.0000
```

Output
calculated formation energy = 1623.7 meV per atom
density = 12.4 g/cm3
volume = 91.5 Å³ per cell
ΔE to the lowest computed polymorph = 0.0 meV/atom
D(E_F) = 4.911 states/eV/cell

2.
NiAsW | PBE-GGA | optimized geometry

Structure (extended XYZ):
```
6
Lattice="4.5682 0.0000 0.0000 -2.2841 2.2831 0.0000 0.0000 0.0000 8.1778" Properties=species:S:1:pos:R:3 pbc="T T T"
W 2.2841 0.8880 0.0000
W 0.0000 0.8877 4.0889
Ni 2.2841 0.8876 2.8656
Ni 2.2841 0.8876 5.3122
As 0.0000 0.8880 6.7041
As 0.0000 0.8880 1.4737
```

Output
calculated formation energy = 88.4 meV per atom
density = 12.4 g/cm3
volume = 85.3 Å³ per cell
ΔE to the lowest computed polymorph = 0.0 meV/atom
D(E_F) = 4.784 states/eV/cell

3.
NiAsW | PBE-GGA | optimized geometry

Structure (extended XYZ):
```
3
Lattice="-1.5630 2.9792 -2.4384 -3.9638 -0.1900 -1.2315 -2.7799 2.6861 1.5236" Properties=species:S:1:pos:R:3 pbc="T T T"
As 0.0000 0.0000 0.0000
Ni -4.1533 2.7376 -1.0732
W -2.0767 1.3688 -0.5366
```

Output
calculated formation energy = 439.2 meV per atom
density = 10.4 g/cm3
volume = 50.7 Å³ per cell
ΔE to the lowest computed polymorph = 350.8 meV/atom
D(E_F) = 2.450 states/eV/cell

4.
Ni2As2W | PBE-GGA | optimized geometry

Structure (extended XYZ):
```
10
Lattice="6.8086 0.0000 0.0000 0.0000 6.8086 0.0000 0.0000 0.0000 3.0115" Properties=species:S:1:pos:R:3 pbc="T T T"
Ni 0.9398 4.3441 1.5058
Ni 4.3441 5.8687 1.5058
Ni 5.8687 2.4644 1.5058
Ni 2.4644 0.9398 1.5058
As 2.3346 5.7389 0.0000
As 5.7389 4.4739 0.0000
As 4.4739 1.0697 0.0000
As 1.0697 2.3346 0.0000
W 0.0000 0.0000 0.0000
W 3.4043 3.4043 0.0000
```

Output
calculated formation energy = 68.3 meV per atom
density = 10.7 g/cm3
volume = 139.6 Å³ per cell
D(E_F) = 6.957 states/eV/cell

5.
NiAsW | PBE-GGA | optimized geometry

Structure (extended XYZ):
```
3
Lattice="-0.9342 1.1509 -3.8620 -1.3100 -3.6480 1.4452 -2.3612 1.2180 0.9341" Properties=species:S:1:pos:R:3 pbc="T T T"
As -0.3941 0.2033 0.1559
Ni -1.4526 -0.2459 -1.9374
W -2.7587 -1.2364 0.2988
```

Output
calculated formation energy = 270.9 meV per atom
density = 12.6 g/cm3
volume = 41.7 Å³ per cell
ΔE to the lowest computed polymorph = 182.5 meV/atom
D(E_F) = 2.775 states/eV/cell

6.
NiAsW | PBE-GGA | optimized geometry

Structure (extended XYZ):
```
3
Lattice="4.0599 0.0000 0.0000 2.0299 3.5160 0.0000 2.0299 1.1720 3.3149" Properties=species:S:1:pos:R:3 pbc="T T T"
As 2.0299 1.1720 0.8287
Ni 0.0000 0.0000 0.0000
W 4.0599 2.3440 1.6574
```

Output
calculated formation energy = 358.2 meV per atom
density = 11.1 g/cm3
volume = 47.3 Å³ per cell
ΔE to the lowest computed polymorph = 269.8 meV/atom
D(E_F) = 1.895 states/eV/cell

7.
NiAsW | PBE-GGA | optimized geometry

Structure (extended XYZ):
```
3
Lattice="4.8993 -0.0214 0.0240 3.9286 2.9275 0.0209 0.9707 0.3227 2.9311" Properties=species:S:1:pos:R:3 pbc="T T T"
As 1.0378 0.3447 2.9065
Ni 6.1401 2.0224 1.0322
W 3.5914 1.1843 1.9684
```

Output
calculated formation energy = 211.2 meV per atom
density = 12.5 g/cm3
volume = 42.2 Å³ per cell
ΔE to the lowest computed polymorph = 122.8 meV/atom
D(E_F) = 3.172 states/eV/cell

8.
NiAsW | PBE-GGA | optimized geometry

Structure (extended XYZ):
```
3
Lattice="-2.6568 0.6520 -0.8332 0.4121 -1.7510 2.2231 -0.0083 4.8448 3.8176" Properties=species:S:1:pos:R:3 pbc="T T T"
As -0.0001 0.0701 0.0552
Ni -1.6365 1.4370 1.4353
W -0.6163 2.2387 3.7170
```

Output
calculated formation energy = 230.7 meV per atom
density = 12.1 g/cm3
volume = 43.7 Å³ per cell
ΔE to the lowest computed polymorph = 142.3 meV/atom
D(E_F) = 2.606 states/eV/cell

9.
YNi2AsW | PBE-GGA | optimized geometry

Structure (extended XYZ):
```
5
Lattice="4.5714 0.0000 0.0000 0.0000 5.2539 0.0000 0.0000 0.0000 4.5714" Properties=species:S:1:pos:R:3 pbc="T T T"
Y 0.0000 0.0000 0.0000
Ni 0.0000 0.0000 2.2857
Ni 2.2857 0.0000 0.0000
As 2.2857 2.6269 2.2857
W 0.0000 2.6269 0.0000
```

Output
calculated formation energy = 2000.4 meV per atom
density = 7.0 g/cm3
volume = 109.8 Å³ per cell
D(E_F) = 4.410 states/eV/cell

10.
YNi5As3 | PBE-GGA | optimized geometry

Structure (extended XYZ):
```
18
Lattice="3.6939 0.0000 0.0000 -1.8470 6.0987 0.0000 0.0000 0.0000 11.7623" Properties=species:S:1:pos:R:3 pbc="T T T"
Y 1.8470 4.1986 8.8217
Y 0.0000 1.9001 2.9406
Ni 1.8470 3.7083 5.0652
Ni 0.0000 2.3904 10.9463
Ni 0.0000 0.0000 5.8811
Ni 0.0000 0.0000 0.0000
Ni 0.0000 5.5012 1.7021
Ni 1.8470 0.5975 10.0601
Ni 1.8470 0.5975 7.5833
Ni 1.8470 3.7083 0.8160
Ni 0.0000 2.3904 6.6971
Ni 0.0000 5.5012 4.1790
As 0.0000 4.6313 11.2134
As 1.8470 4.6644 2.9406
As 0.0000 4.6313 6.4300
As 1.8470 1.4674 5.3323
As 0.0000 1.4343 8.8217
As 1.8470 1.4674 0.5488
```

Output
calculated formation energy = -532.0 meV per atom
density = 7.6 g/cm3
volume = 265.0 Å³ per cell
D(E_F) = 12.710 states/eV/cell

11.
YNiAs2 | PBE-GGA | optimized geometry

Structure (extended XYZ):
```
4
Lattice="4.7329 0.0000 0.0000 2.3664 4.0988 0.0000 2.3664 1.3663 3.8644" Properties=species:S:1:pos:R:3 pbc="T T T"
As 0.0000 0.0000 0.0000
As 2.3664 1.3663 0.9661
Ni 4.7329 2.7325 1.9322
Y 7.0993 4.0988 2.8983
```

Output
calculated formation energy = -230.9 meV per atom
density = 6.6 g/cm3
volume = 75.0 Å³ per cell
D(E_F) = 2.276 states/eV/cell

12.
YNiAs2 | PBE-GGA | optimized geometry

Structure (extended XYZ):
```
4
Lattice="4.8746 -0.0012 -0.0082 -0.1677 4.8717 0.0082 -1.4347 -3.3231 3.2650" Properties=species:S:1:pos:R:3 pbc="T T T"
As 4.4342 4.5883 0.0000
As 2.6262 2.7174 0.0000
Ni 2.8967 -0.4446 1.6284
Y 0.3755 1.9919 1.6366
```

Output
calculated formation energy = -613.6 meV per atom
density = 6.4 g/cm3
volume = 77.6 Å³ per cell
D(E_F) = 2.620 states/eV/cell